a.
This record from OQMD via LeMat-Bulk describes a geometry-optimized KPmSO structure. The functional is PBE.

Cell: 4.570 8.036 6.501 Å, 90.00 90.00 90.00°
Element x y z (fractional)
S (0.000, 0.303, 0.628)
O (0.500, 0.101, 0.209)
Pm (0.500, 0.134, 0.543)
S (0.000, 0.697, 0.128)
K (0.000, 0.305, 0.111)
K (0.000, 0.695, 0.611)
Pm (0.500, 0.866, 0.043)
O (0.500, 0.899, 0.709)

Magnetization (μB/f.u.): 0.00
Volume (Å³/atom): 29.8

***

b.
This record from OQMD via LeMat-Bulk describes a geometry-optimized KPmSO structure. The functional is PBE.

Cell: 7.548 7.574 6.618 Å, 90.00 104.46 90.00°
Element x y z (fractional)
O (0.392, 0.851, 0.379)
O (0.392, 0.649, 0.879)
S (0.242, 0.413, 0.341)
K (0.916, 0.256, 0.992)
S (0.758, 0.913, 0.159)
K (0.916, 0.244, 0.492)
Pm (0.467, 0.127, 0.268)
O (0.608, 0.351, 0.121)
Pm (0.467, 0.373, 0.768)
K (0.084, 0.756, 0.508)
Pm (0.533, 0.873, 0.732)
S (0.242, 0.087, 0.841)
O (0.608, 0.149, 0.621)
K (0.084, 0.744, 0.008)
Pm (0.533, 0.627, 0.232)
S (0.758, 0.587, 0.659)

Magnetization (μB/f.u.): 0.00
Volume (Å³/atom): 22.9

***

c.
This record from OQMD via LeMat-Bulk describes a geometry-optimized KPmSO structure. The functional is PBE.

Cell: 5.824 5.825 11.368 Å, 90.00 105.08 90.00°
Element x y z (fractional)
Pm (0.051, 0.858, 0.102)
Pm (0.449, 0.858, 0.898)
Pm (0.551, 0.358, 0.102)
K (0.448, 0.618, 0.399)
O (0.250, 0.107, 0.000)
K (0.948, 0.118, 0.398)
S (0.895, 0.617, 0.296)
K (0.552, 0.118, 0.601)
K (0.052, 0.618, 0.602)
Pm (0.949, 0.358, 0.898)
S (0.606, 0.617, 0.704)
O (0.250, 0.607, 0.000)
O (0.750, 0.607, 0.000)
S (0.394, 0.117, 0.296)
S (0.105, 0.117, 0.704)
O (0.750, 0.107, 0.000)

Magnetization (μB/f.u.): 0.00
Volume (Å³/atom): 23.3

***

Stability order, top to bottom: b, c, a

***

a.
This record from OQMD via LeMat-Bulk describes a geometry-optimized K2Pr2O5 structure. The functional is PBE.

Cell: 9.110 4.489 4.489 Å, 90.00 90.00 90.00°
Last column: magnetic moment on the atom in μB.
Element x y z (fractional)
Pr (0.255, 0.500, 0.500)  0.00
K (0.500, 0.000, 0.000)  0.00
K (0.000, 0.000, 0.000)  0.00
O (0.801, 0.500, 0.000)  0.49
O (0.199, 0.500, 0.000)  0.49
O (0.500, 0.500, 0.500)  0.08
Pr (0.745, 0.500, 0.500)  0.00
O (0.199, 0.000, 0.500)  0.30
O (0.801, 0.000, 0.500)  0.30

Magnetization (μB/f.u.): 2.00
Volume (Å³/atom): 20.4

***

b.
This record from OQMD via LeMat-Bulk describes a geometry-optimized K2Pr2O5 structure. The functional is PBE.

Cell: 7.209 4.430 4.430 Å, 90.00 90.00 90.00°
Last column: magnetic moment on the atom in μB.
Element x y z (fractional)
K (0.186, 0.500, 0.500)  0.08
O (0.213, 0.500, 0.000)  0.41
Pr (0.000, 0.000, 0.000)  -0.03
O (0.213, 0.000, 0.500)  0.14
O (0.787, 0.500, 0.000)  0.41
O (0.787, 0.000, 0.500)  0.14
O (0.500, 0.500, 0.500)  0.56
K (0.814, 0.500, 0.500)  0.08
Pr (0.500, 0.000, 0.000)  -0.04

Magnetization (μB/f.u.): 2.00
Volume (Å³/atom): 15.7

***

Stability order, top to bottom: a, b

***

a.
This record from OQMD via LeMat-Bulk describes a geometry-optimized KPrTeO structure. The functional is PBE.

Cell: 4.382 4.382 10.819 Å, 90.00 90.00 90.00°
Element x y z (fractional)
Pr (0.250, 0.250, 0.095)
Te (0.750, 0.750, 0.270)
K (0.250, 0.750, 0.500)
K (0.750, 0.250, 0.500)
O (0.250, 0.750, 0.000)
Pr (0.750, 0.750, 0.905)
Te (0.250, 0.250, 0.730)
O (0.750, 0.250, 0.000)

Magnetization (μB/f.u.): 0.00
Volume (Å³/atom): 26.0

***

b.
This record from OQMD via LeMat-Bulk describes a geometry-optimized KPrTeO structure. The functional is PBE.

Cell: 6.992 7.895 8.397 Å, 90.00 97.67 90.00°
Element x y z (fractional)
K (0.448, 0.186, 0.105)
K (0.052, 0.686, 0.895)
Pr (0.783, 0.629, 0.476)
Pr (0.217, 0.371, 0.524)
K (0.948, 0.314, 0.105)
Te (0.125, 0.082, 0.777)
O (0.606, 0.852, 0.579)
K (0.552, 0.814, 0.895)
O (0.106, 0.648, 0.579)
Te (0.375, 0.582, 0.223)
Pr (0.717, 0.129, 0.524)
O (0.894, 0.352, 0.421)
Te (0.875, 0.918, 0.223)
Te (0.625, 0.418, 0.777)
O (0.394, 0.148, 0.421)
Pr (0.283, 0.871, 0.476)

Magnetization (μB/f.u.): 0.00
Volume (Å³/atom): 28.7

***

c.
This record from OQMD via LeMat-Bulk describes a geometry-optimized KPrTeO structure. The functional is PBE.

Cell: 6.978 4.961 8.546 Å, 90.00 90.00 90.00°
Element x y z (fractional)
O (0.204, 0.500, 0.404)
O (0.704, 0.500, 0.596)
K (0.626, 0.000, 0.785)
K (0.126, 0.000, 0.215)
Te (0.639, 0.000, 0.192)
Te (0.139, 0.000, 0.808)
Pr (0.022, 0.500, 0.616)
Pr (0.522, 0.500, 0.384)

Magnetization (μB/f.u.): 0.00
Volume (Å³/atom): 37.0

***

d.
This record from OQMD via LeMat-Bulk describes a geometry-optimized KPrTeO structure. The functional is PBE.

Cell: 7.802 7.802 7.802 Å, 30.07 30.07 30.07°
Element x y z (fractional)
K (0.989, 0.989, 0.989)
Te (0.760, 0.760, 0.760)
Pr (0.522, 0.522, 0.522)
O (0.229, 0.229, 0.229)

Magnetization (μB/f.u.): 0.00
Volume (Å³/atom): 26.4

***

Stability order, top to bottom: b, a, c, d

***

a.
This record from OQMD via LeMat-Bulk describes a geometry-optimized K3Rb2ReO6 structure. The functional is PBE.

Cell: 6.499 6.499 6.145 Å, 100.62 100.62 119.72°
Element x y z (fractional)
O (0.176, 0.176, 0.811)
O (0.693, 0.935, 0.802)
O (0.307, 0.065, 0.198)
O (0.935, 0.693, 0.802)
K (0.500, 0.500, 0.500)
O (0.824, 0.824, 0.189)
K (0.838, 0.162, 0.500)
Re (0.000, 0.000, 0.000)
Rb (0.333, 0.667, 0.000)
O (0.065, 0.307, 0.198)
K (0.162, 0.838, 0.500)
Rb (0.667, 0.333, 0.000)

Magnetization (μB/f.u.): 0.00
Volume (Å³/atom): 17.5

***

b.
This record from OQMD via LeMat-Bulk describes a geometry-optimized K3Rb2ReO6 structure. The functional is PBE.

Cell: 6.338 6.338 6.355 Å, 100.52 100.52 120.08°
Element x y z (fractional)
O (0.684, 0.932, 0.810)
O (0.068, 0.316, 0.190)
Rb (0.174, 0.826, 0.500)
O (0.932, 0.684, 0.810)
Re (0.000, 0.000, 0.000)
O (0.182, 0.182, 0.816)
K (0.500, 0.500, 0.500)
Rb (0.826, 0.174, 0.500)
K (0.334, 0.666, 0.000)
O (0.316, 0.068, 0.190)
K (0.666, 0.334, 0.000)
O (0.818, 0.818, 0.184)

Magnetization (μB/f.u.): 0.00
Volume (Å³/atom): 17.1

***

Stability order, top to bottom: b, a

***

a.
This record from OQMD via LeMat-Bulk describes a geometry-optimized K2ReO3 structure. The functional is PBE.

Cell: 6.403 6.403 7.258 Å, 90.00 90.00 120.00°
Last column: magnetic moment on the atom in μB.
Element x y z (fractional)
O (0.899, 0.645, 0.250)  0.05
K (0.667, 0.333, 0.754)  0.00
O (0.745, 0.101, 0.250)  0.07
Re (0.333, 0.667, 0.748)  0.70
O (0.645, 0.899, 0.750)  0.07
O (0.255, 0.355, 0.750)  0.07
O (0.101, 0.745, 0.750)  0.05
K (0.333, 0.667, 0.246)  0.00
O (0.355, 0.255, 0.250)  0.07
K (0.000, 0.000, 0.500)  0.00
K (0.000, 0.000, 0.000)  0.00
Re (0.667, 0.333, 0.252)  0.69

Magnetization (μB/f.u.): 1.00
Volume (Å³/atom): 21.5

***

b.
This record from OQMD via LeMat-Bulk describes a geometry-optimized K2ReO3 structure. The functional is PBE.

Cell: 6.250 6.458 7.076 Å, 89.64 89.50 61.43°
Last column: magnetic moment on the atom in μB.
Element x y z (fractional)
Re (0.657, 0.665, 0.243)  0.69
K (0.679, 0.663, 0.735)  0.00
O (0.756, 0.356, 0.245)  0.01
K (0.000, 0.000, 0.000)  0.00
O (0.096, 0.261, 0.748)  0.17
O (0.640, 0.086, 0.756)  0.01
O (0.904, 0.739, 0.252)  0.17
K (0.321, 0.337, 0.265)  0.00
Re (0.343, 0.335, 0.757)  0.69
O (0.360, 0.914, 0.244)  0.01
O (0.244, 0.644, 0.755)  0.01
K (0.000, 0.000, 0.500)  0.00

Magnetization (μB/f.u.): 1.00
Volume (Å³/atom): 20.9

***

Stability order, top to bottom: b, a

***

a.
This record from OQMD via LeMat-Bulk describes a geometry-optimized K2Re2O5 structure. The functional is PBE.

Cell: 8.574 3.731 3.731 Å, 90.00 90.00 90.00°
Last column: magnetic moment on the atom in μB.
Element x y z (fractional)
K (0.190, 0.500, 0.500)  0.04
O (0.500, 0.500, 0.500)  -0.05
K (0.810, 0.500, 0.500)  0.04
O (0.632, 0.000, 0.500)  0.03
Re (0.500, 0.000, 0.000)  0.90
O (0.368, 0.500, 0.000)  0.02
Re (0.000, 0.000, 0.000)  3.82
O (0.368, 0.000, 0.500)  0.03
O (0.632, 0.500, 0.000)  0.02

Magnetization (μB/f.u.): 5.47
Volume (Å³/atom): 13.3

***

b.
This record from OQMD via LeMat-Bulk describes a geometry-optimized K2Re2O5 structure. The functional is PBE.

Cell: 7.927 3.880 3.880 Å, 90.00 90.00 90.00°
Element x y z (fractional)
O (0.765, 0.000, 0.500)
O (0.235, 0.000, 0.500)
K (0.500, 0.000, 0.000)
O (0.765, 0.500, 0.000)
O (0.235, 0.500, 0.000)
O (0.500, 0.500, 0.500)
Re (0.755, 0.500, 0.500)
Re (0.245, 0.500, 0.500)
K (0.000, 0.000, 0.000)

Magnetization (μB/f.u.): 0.00
Volume (Å³/atom): 13.3

***

Stability order, top to bottom: b, a